This record from the Alexandria database describes a geometry-optimized Ce2In3Ag structure. The functional is PBE.

abc: 6.1348 6.1348 9.4201
angles: 102.24 102.24 110.43
Last column: nearest neighbours and their distance in Å.
Positions (direct):
Ce (0.2500, 0.7500, 0.5000)  8 In 3.37, 4 Ag 3.39, 2 Ce 3.50
Ce (0.7433, 0.7433, 0.0000)  10 In 3.36-3.47, 2 Ag 3.38, 2 Ce 3.41-3.59
Ce (0.7500, 0.2500, 0.5000)  8 In 3.37, 4 Ag 3.39, 2 Ce 3.50
Ce (0.2567, 0.2567, 0.0000)  10 In 3.36-3.47, 2 Ag 3.38, 2 Ce 3.41-3.59
In (0.3386, 0.8317, 0.1703)  1 Ag 2.87, 2 In 2.95-2.98
In (0.1683, 0.6614, 0.8297)  1 Ag 2.87, 2 In 2.95-2.98
In (0.6614, 0.1683, 0.8297)  1 Ag 2.87, 2 In 2.95-2.98
In (0.8317, 0.3386, 0.1703)  1 Ag 2.87, 2 In 2.95-2.98
In (0.1696, 0.1696, 0.3392)  1 Ag 2.86, 2 In 2.95
In (0.8304, 0.8304, 0.6608)  1 Ag 2.86, 2 In 2.95
Ag (0.6671, 0.6671, 0.3342)  3 In 2.86-2.87
Ag (0.3329, 0.3329, 0.6658)  3 In 2.86-2.87

Computed properties:
Energy above the lowest structure with this stoichiometry   0.005 eV per atom
Size of the total moment   2.7 μB per formula unit
Space-group type   Fmmm
E_form   -0.338 eV per atom

***

This record from the Alexandria database describes a geometry-optimized CeInAg3 structure. The functional is PBE.

abc: 4.9985 9.4582 9.5081
angles: 90.00 90.00 90.00
Last column: nearest neighbours and their distance in Å.
Positions (direct):
Ce (0.7500, 0.7579, 0.0054)  7 Ag 3.16-3.52, 2 In 3.30
Ce (0.2500, 0.7421, 0.5054)  7 Ag 3.16-3.52, 2 In 3.30
Ce (0.7500, 0.2579, 0.4946)  7 Ag 3.16-3.52, 2 In 3.30
Ce (0.2500, 0.2421, 0.9946)  7 Ag 3.16-3.52, 2 In 3.30
In (0.2500, 0.0937, 0.6522)  3 Ag 2.69-2.86
In (0.2500, 0.5937, 0.8478)  3 Ag 2.69-2.86
In (0.7500, 0.4063, 0.1522)  3 Ag 2.69-2.86
In (0.7500, 0.9063, 0.3478)  3 Ag 2.69-2.86
Ag (0.2500, 0.6032, 0.1482)  2 Ag 2.69-2.84, 1 In 2.86
Ag (0.7500, 0.3968, 0.8518)  2 Ag 2.69-2.84, 1 In 2.86
Ag (0.2500, 0.1032, 0.3518)  2 Ag 2.69-2.84, 1 In 2.86
Ag (0.7500, 0.8968, 0.6482)  2 Ag 2.69-2.84, 1 In 2.86
Ag (0.2500, 0.3933, 0.6476)  2 In 2.69-2.83, 1 Ag 2.83
Ag (0.7500, 0.1067, 0.1476)  2 In 2.69-2.83, 1 Ag 2.83
Ag (0.2500, 0.8933, 0.8524)  2 In 2.69-2.83, 1 Ag 2.83
Ag (0.7500, 0.5963, 0.6495)  3 Ag 2.69-2.84
Ag (0.2500, 0.4037, 0.3505)  3 Ag 2.69-2.84
Ag (0.7500, 0.0963, 0.8505)  3 Ag 2.69-2.84
Ag (0.7500, 0.6067, 0.3524)  2 In 2.69-2.83, 1 Ag 2.83
Ag (0.2500, 0.9037, 0.1495)  3 Ag 2.69-2.84

Computed properties:
Size of the total moment   0.9 μB per formula unit
Space-group type   Pnma
E_form   -0.154 eV per atom

***

This record from the Alexandria database describes a geometry-optimized Ce2InAg structure. The functional is PBE.

abc: 4.7898 7.1992 6.4427
angles: 26.47 90.00 90.00
Last column: nearest neighbours and their distance in Å.
Positions (direct):
Ce (0.6125, 0.6354, 0.5402)  1 Ce 2.83
Ce (0.6125, 0.6353, 0.1009)  1 Ce 2.83
In (0.1125, 0.1354, 0.3205)  2 In 3.21, 2 Ag 3.22, 8 Ce 3.40
Ag (0.1125, 0.1353, 0.8206)  2 Ag 3.21, 8 Ce 3.21, 2 In 3.22

Computed properties:
Size of the total moment   1.4 μB per formula unit
Space-group type   Pmmm
E_form   -0.229 eV per atom

***

This record from the Alexandria database describes a geometry-optimized Ce11In9Ag4 structure. The functional is PBE.

abc: 3.6515 13.6981 13.6981
angles: 110.76 90.00 90.00
Last column: nearest neighbours and their distance in Å.
Positions (direct):
Ce (0.0000, 0.5737, 0.9525)  1 Ce 2.76
Ce (0.0000, 0.4263, 0.0475)  1 Ce 2.76
Ce (0.0000, 0.9525, 0.5737)  1 Ce 2.76
Ce (0.0000, 0.0475, 0.4263)  1 Ce 2.76
Ce (0.0000, 0.6295, 0.3705)  4 Ag 3.09, 6 In 3.38-3.44
Ce (0.0000, 0.3705, 0.6295)  4 Ag 3.09, 6 In 3.38-3.44
Ce (0.0000, 0.8470, 0.1530)  8 In 3.44, 5 Ce 3.45-3.78
Ce (0.0000, 0.1530, 0.8470)  8 In 3.44, 5 Ce 3.45-3.78
Ce (0.0000, 0.0000, 0.0000)  8 In 3.39, 4 Ce 3.45-3.65
Ce (0.0000, 0.6977, 0.6977)  4 Ag 3.06
Ce (0.0000, 0.3023, 0.3023)  4 Ag 3.06
In (0.5000, 0.6390, 0.1662)  1 In 3.03, 1 Ag 3.10, 6 Ce 3.29-3.38
In (0.5000, 0.3610, 0.8338)  1 In 3.03, 1 Ag 3.10, 6 Ce 3.29-3.38
In (0.5000, 0.1662, 0.6390)  1 In 3.03, 1 Ag 3.10, 6 Ce 3.29-3.38
In (0.5000, 0.8338, 0.3610)  1 In 3.03, 1 Ag 3.10, 6 Ce 3.29-3.38
In (0.5000, 0.7771, 0.9258)  1 Ag 3.12, 1 In 3.35, 8 Ce 3.39-3.46
In (0.5000, 0.2229, 0.0742)  1 Ag 3.12, 1 In 3.35, 8 Ce 3.39-3.46
In (0.5000, 0.9258, 0.7771)  1 Ag 3.12, 1 In 3.35, 8 Ce 3.39-3.46
In (0.5000, 0.0742, 0.2229)  1 Ag 3.12, 1 In 3.35, 8 Ce 3.39-3.46
In (0.5000, 0.5000, 0.5000)  4 Ag 3.39, 8 Ce 3.44-3.58, 2 In 3.65
Ag (0.5000, 0.5509, 0.7608)  6 Ce 3.06-3.12, 3 In 3.10-3.39
Ag (0.5000, 0.4491, 0.2392)  6 Ce 3.06-3.12, 3 In 3.10-3.39
Ag (0.5000, 0.7608, 0.5509)  6 Ce 3.06-3.12, 3 In 3.10-3.39
Ag (0.5000, 0.2392, 0.4491)  6 Ce 3.06-3.12, 3 In 3.10-3.39

Computed properties:
Size of the total moment   4.9 μB per formula unit
Space-group type   Cmmm
E_form   -0.297 eV per atom